(1)
Density functional theory data (PBE) for a geometry-optimized PmEr2Ge4 structure.

Lattice parameters (Å, degrees): 4.0245 4.2510 9.6071 102.78 102.09 90.00
Closest atoms and distances in Å follow each position.
Sites, in units of the cell vectors:
Pm: 0.5000 0.0000 0.0000  8 Ge 3.18
Ge: 0.6605 0.6605 0.3210  2 Ge 2.63, 1 Er 2.89
Ge: 0.9320 0.4320 0.8640  3 Ge 2.49-2.63
Ge: 0.3395 0.3395 0.6790  2 Ge 2.63, 1 Er 2.89
Ge: 0.0680 0.5680 0.1360  3 Ge 2.49-2.63
Er: 0.1816 0.1816 0.3633  7 Ge 2.89-2.97
Er: 0.8184 0.8184 0.6367  7 Ge 2.89-2.97

* crystal system: orthorhombic
* DFT total energy: -0.19712 Ha/atom
* energy of formation: -5.20 eV per formula unit
* space-group type: Immm, No. 71

***

(2)
Density functional theory data (PBE) for a geometry-optimized CoPdRhBr2 structure.

Lattice parameters (Å, degrees): 4.9832 4.6614 4.9832 90.00 90.00 90.00
Closest atoms and distances in Å follow each position.
Sites, in units of the cell vectors:
Br: 0.0000 0.0000 0.5000  2 Rh 2.49
Br: 0.5000 0.0000 0.0000  2 Rh 2.49
Co: 0.0000 0.5000 0.0000  2 Rh 2.33
Pd: 0.5000 0.5000 0.5000  8 Br 3.41, 4 Co 3.52
Rh: 0.0000 0.0000 0.0000  2 Co 2.33, 4 Br 2.49

* formation energy from raw total energies: 0.820 eV/atom
* crystal system: tetragonal
* DFT total energy: -0.13888 Ha/atom
* space-group type: P4/mmm, No. 123

***

(3)
Density functional theory data (PBE) for a geometry-optimized AcSc2TaO8 structure.

Lattice parameters (Å, degrees): 4.8162 4.8112 7.2022 90.00 90.00 90.01
Closest atoms and distances in Å follow each position.
Sites, in units of the cell vectors:
Sc: 0.5000 0.5000 0.7951  6 O 2.03-2.25
Sc: 0.5000 0.5000 0.2049  6 O 2.03-2.25
O: 0.6092 0.6120 0.5000  1 O 1.51
O: 0.7037 0.7052 0.0000  1 Ta 2.01, 2 Sc 2.03
O: 0.1935 0.8049 0.2113  1 Ta 2.02, 1 Sc 2.08
O: 0.1935 0.8049 0.7887  1 Ta 2.02, 1 Sc 2.08
O: 0.2963 0.2948 0.0000  1 Ta 2.01, 2 Sc 2.03
O: 0.8065 0.1951 0.7887  1 Ta 2.02, 1 Sc 2.08
O: 0.8065 0.1951 0.2113  1 Ta 2.02, 1 Sc 2.08
O: 0.3908 0.3880 0.5000  1 O 1.51
Ta: 0.0000 0.0000 0.0000  6 O 2.01-2.02
Ac: 0.0000 0.0000 0.5000  6 O 2.46-2.65

* formation energy from raw total energies: -2.908 eV/atom
* crystal system: monoclinic
* DFT total energy: -0.31601 Ha/atom
* space-group type: P2/m, No. 10

***

(4)
Density functional theory data (PBE) for a geometry-optimized Ba2TlAu2O6 structure.

Lattice parameters (Å, degrees): 6.3184 6.3184 6.9925 63.14 63.14 60.00
Closest atoms and distances in Å follow each position.
Sites, in units of the cell vectors:
O: 0.7984 0.2372 0.7271  1 Au 2.05, 1 Tl 2.28
O: 0.2372 0.2372 0.7271  1 Au 2.05, 1 Tl 2.28
O: 0.7628 0.7628 0.2729  1 Au 2.05, 1 Tl 2.28
O: 0.2372 0.7984 0.7271  1 Au 2.05, 1 Tl 2.28
O: 0.7628 0.2016 0.2729  1 Au 2.05, 1 Tl 2.28
O: 0.2016 0.7628 0.2729  1 Au 2.05, 1 Tl 2.28
Au: 0.4157 0.4157 0.7529  3 O 2.05
Au: 0.5843 0.5843 0.2471  3 O 2.05
Tl: 0.0000 0.0000 0.0000  6 O 2.28
Ba: 0.2143 0.2143 0.3571  3 O 2.73
Ba: 0.7857 0.7857 0.6429  3 O 2.73

* formation energy from raw total energies: -0.935 eV/atom
* crystal system: trigonal
* DFT total energy: -0.17641 Ha/atom
* space-group type: R-3m, No. 166